# 1
Computed, not measured: a relaxed GeAsP2Ir crystal at the PBE-GGA level of DFT.

Lattice parameters (Å, degrees): 4.442 4.442 5.548 90.00 90.00 90.00
Positions (direct):
Ge (0.000, 0.000, 0.000)
As (0.500, 0.500, 0.000)
P (0.000, 0.500, 0.500)
P (0.500, 0.000, 0.500)
Ir (0.500, 0.500, 0.500)

E_tot in eV/atom: -5.138

# 2
Computed, not measured: a relaxed GeAs2PIr crystal at the PBE-GGA level of DFT.

Lattice parameters (Å, degrees): 4.840 4.840 4.765 90.00 90.00 90.00
Positions (direct):
Ge (0.000, 0.000, 0.000)
As (0.000, 0.500, 0.500)
As (0.500, 0.000, 0.500)
P (0.500, 0.500, 0.000)
Ir (0.000, 0.000, 0.500)

E_tot in eV/atom: -4.923

# 3
Computed, not measured: a relaxed Pm2Ge3AsIr4 crystal at the PBE-GGA level of DFT.

Lattice parameters (Å, degrees): 4.293 4.293 10.078 90.00 90.00 90.00
Positions (direct):
Pm (0.000, 0.500, 0.244)
Pm (0.500, 0.000, 0.756)
Ge (0.000, 0.000, 0.000)
Ge (0.000, 0.500, 0.632)
Ge (0.500, 0.000, 0.368)
As (0.500, 0.500, 0.000)
Ir (0.000, 0.000, 0.500)
Ir (0.000, 0.500, 0.876)
Ir (0.500, 0.000, 0.124)
Ir (0.500, 0.500, 0.500)

E_tot in eV/atom: -7.119

# 4
Computed, not measured: a relaxed Pr2Ge3AsIr4 crystal at the PBE-GGA level of DFT.

Lattice parameters (Å, degrees): 4.318 4.318 10.109 90.00 90.00 90.00
Positions (direct):
Pr (0.000, 0.500, 0.244)
Pr (0.500, 0.000, 0.756)
Ge (0.000, 0.000, 0.000)
Ge (0.000, 0.500, 0.631)
Ge (0.500, 0.000, 0.369)
As (0.500, 0.500, 0.000)
Ir (0.000, 0.000, 0.500)
Ir (0.000, 0.500, 0.877)
Ir (0.500, 0.000, 0.123)
Ir (0.500, 0.500, 0.500)

E_tot in eV/atom: -7.123

# 5
Computed, not measured: a relaxed GeAsIrSe2 crystal at the PBE-GGA level of DFT.

Lattice parameters (Å, degrees): 5.158 5.158 4.553 90.00 90.00 90.00
Positions (direct):
Ge (0.000, 0.000, 0.000)
As (0.500, 0.500, 0.000)
Ir (0.500, 0.500, 0.500)
Se (0.000, 0.500, 0.500)
Se (0.500, 0.000, 0.500)

Energy above the most stable polymorph in this dataset in eV/atom: 0.000
E_tot in eV/atom: -4.481
Formation energy from raw total energies in kJ/mol of formula units: 260

# 6
Computed, not measured: a relaxed GeAs2IrSe crystal at the PBE-GGA level of DFT.

Lattice parameters (Å, degrees): 4.761 4.761 4.779 90.00 90.00 90.00
Positions (direct):
Ge (0.000, 0.000, 0.000)
As (0.000, 0.500, 0.000)
As (0.500, 0.000, 0.000)
Ir (0.500, 0.500, 0.500)
Se (0.000, 0.000, 0.500)

Energy above the most stable polymorph in this dataset in eV/atom: 0.707
E_tot in eV/atom: -3.974
Formation energy from raw total energies in kJ/mol of formula units: 617

# 7
Computed, not measured: a relaxed GeAsIrSe2 crystal at the PBE-GGA level of DFT.

Lattice parameters (Å, degrees): 4.809 4.809 4.817 90.00 90.00 90.00
Positions (direct):
Ge (0.000, 0.000, 0.000)
As (0.000, 0.000, 0.500)
Ir (0.500, 0.500, 0.500)
Se (0.000, 0.500, 0.000)
Se (0.500, 0.000, 0.000)

Energy above the most stable polymorph in this dataset in eV/atom: 0.723
E_tot in eV/atom: -3.758
Formation energy from raw total energies in kJ/mol of formula units: 609

# 8
Computed, not measured: a relaxed GeAs2IrSe crystal at the PBE-GGA level of DFT.

Lattice parameters (Å, degrees): 4.679 4.679 5.460 90.00 90.00 90.00
Positions (direct):
Ge (0.000, 0.000, 0.000)
As (0.000, 0.500, 0.500)
As (0.500, 0.000, 0.500)
Ir (0.500, 0.500, 0.500)
Se (0.500, 0.500, 0.000)

Energy above the most stable polymorph in this dataset in eV/atom: 0.000
E_tot in eV/atom: -4.681
Formation energy from raw total energies in kJ/mol of formula units: 276

# 9
Computed, not measured: a relaxed Sr2Ge3AsIr4 crystal at the PBE-GGA level of DFT.

Lattice parameters (Å, degrees): 4.353 4.353 10.176 90.00 90.00 90.00
Positions (direct):
Sr (0.000, 0.500, 0.247)
Sr (0.500, 0.000, 0.753)
Ge (0.000, 0.000, 0.000)
Ge (0.000, 0.500, 0.628)
Ge (0.500, 0.000, 0.372)
As (0.500, 0.500, 0.000)
Ir (0.000, 0.000, 0.500)
Ir (0.000, 0.500, 0.878)
Ir (0.500, 0.000, 0.122)
Ir (0.500, 0.500, 0.500)

E_tot in eV/atom: -6.333

# 10
Computed, not measured: a relaxed Ta2GeAsIr crystal at the PBE-GGA level of DFT.

Lattice parameters (Å, degrees): 4.748 4.748 4.616 90.00 90.00 90.00
Positions (direct):
Ta (0.000, 0.500, 0.000)
Ta (0.500, 0.000, 0.000)
Ge (0.000, 0.000, 0.000)
As (0.000, 0.000, 0.500)
Ir (0.500, 0.500, 0.500)

E_tot in eV/atom: -6.921

# 11
Computed, not measured: a relaxed Th2GeAsIr6 crystal at the PBE-GGA level of DFT.

Lattice parameters (Å, degrees): 5.515 8.595 8.260 90.00 90.00 90.00
Positions (direct):
Th (0.250, 0.009, 0.225)
Th (0.250, 0.491, 0.225)
Th (0.750, 0.509, 0.775)
Th (0.750, 0.991, 0.775)
Ge (0.250, 0.750, 0.763)
Ge (0.750, 0.250, 0.237)
As (0.250, 0.250, 0.753)
As (0.750, 0.750, 0.247)
Ir (0.003, 0.250, 0.487)
Ir (0.007, 0.750, 0.011)
Ir (0.250, 0.001, 0.601)
Ir (0.250, 0.499, 0.601)
Ir (0.493, 0.750, 0.011)
Ir (0.497, 0.250, 0.487)
Ir (0.503, 0.750, 0.513)
Ir (0.507, 0.250, 0.989)
Ir (0.750, 0.501, 0.399)
Ir (0.750, 0.999, 0.399)
Ir (0.993, 0.250, 0.989)
Ir (0.997, 0.750, 0.513)

E_tot in eV/atom: -8.298

# 12
Computed, not measured: a relaxed ZrGe2AsIr crystal at the PBE-GGA level of DFT.

Lattice parameters (Å, degrees): 4.599 4.599 5.426 90.00 90.00 90.00
Positions (direct):
Zr (0.000, 0.000, 0.000)
Ge (0.000, 0.500, 0.500)
Ge (0.500, 0.000, 0.500)
As (0.500, 0.500, 0.000)
Ir (0.500, 0.500, 0.500)

E_tot in eV/atom: -5.812